Entry 1:
{"formula": "KScCd", "functional": "PBE", "state": "relaxed", "lattice_angstrom": [[-0.4495, -2.2373, 5.1455], [1.0200, -3.3169, -4.4319], [3.0670, 0.3701, 0.4288]], "species": ["Sc", "Cd", "K"], "frac_coords": [[0.3333, 0.6667, 0.6119], [0.0000, 0.0000, 0.0074], [0.6667, 0.3333, 0.3807]], "crystal_system": "trigonal", "volume_a3_per_atom": 28.53, "total_magnetization_mub_per_cell": 0.002, "space_group": "P3m1 (156)", "ef_ev_per_atom": 0.401}

Entry 2:
{"formula": "KScCd", "functional": "PBE", "state": "relaxed", "lattice_angstrom": [[-3.0304, -3.4316, 2.8071], [2.2867, -3.3165, 3.5511], [-0.7529, 0.7669, 5.2615]], "species": ["Sc", "K", "Cd"], "frac_coords": [[0.0000, 0.0000, 0.0000], [0.7500, 0.7500, 0.7500], [0.5000, 0.5000, 0.5000]], "crystal_system": "cubic", "volume_a3_per_atom": 36.50, "total_magnetization_mub_per_cell": 1.454, "space_group": "F-43m (216)", "ef_ev_per_atom": 0.950}

Entry 3:
{"formula": "KSc2Cd2", "functional": "PBE", "state": "relaxed", "lattice_angstrom": [[-7.1987, 4.6130, -3.2667], [1.4732, -3.5757, -8.2955], [-1.8934, -2.4461, 0.7181]], "species": ["Cd", "Cd", "Cd", "Cd", "Sc", "Sc", "Sc", "Sc", "K", "K"], "frac_coords": [[0.8268, 0.3268, 0.5000], [0.3268, 0.1732, 0.5000], [0.1732, 0.6732, 0.5000], [0.6732, 0.8268, 0.5000], [0.3798, 0.8798, 0.0000], [0.1202, 0.3798, 0.0000], [0.8798, 0.6202, 0.0000], [0.6202, 0.1202, 0.0000], [0.0000, 0.0000, 0.0000], [0.5000, 0.5000, 0.0000]], "crystal_system": "tetragonal", "volume_a3_per_atom": 26.60, "total_magnetization_mub_per_cell": 1.220, "space_group": "P4/mbm (127)", "ef_ev_per_atom": 0.013}

Entry 4:
{"formula": "KScCd", "functional": "PBE", "state": "relaxed", "lattice_angstrom": [[-4.7704, 2.8949, -5.7580], [-6.7383, 0.2558, -4.3384], [-1.9861, 2.4205, 1.7463]], "species": ["Cd", "K", "Sc"], "frac_coords": [[0.0260, 0.0260, 0.9740], [0.3465, 0.3465, 0.6535], [0.6275, 0.6275, 0.3725]], "crystal_system": "tetragonal", "volume_a3_per_atom": 32.59, "total_magnetization_mub_per_cell": 0.098, "space_group": "I4mm (107)", "ef_ev_per_atom": 0.161}

Entry 5:
{"formula": "KScCd3", "functional": "PBE", "state": "relaxed", "lattice_angstrom": [[-0.8802, -2.2462, 5.1906], [4.0491, -3.9178, -1.0088], [3.9486, 3.5168, 2.1914]], "species": ["K", "Cd", "Cd", "Cd", "Sc"], "frac_coords": [[0.5000, 0.5000, 0.5000], [0.5000, 0.0000, 0.0000], [0.0000, 0.0000, 0.5000], [0.0000, 0.5000, 0.0000], [0.0000, 0.0000, 0.0000]], "crystal_system": "cubic", "volume_a3_per_atom": 37.50, "total_magnetization_mub_per_cell": 0.000, "space_group": "Pm-3m (221)", "ef_ev_per_atom": 0.268}

Entry 6:
{"formula": "KSc4Cd", "functional": "PBE", "state": "relaxed", "lattice_angstrom": [[5.4207, 0.2380, 3.0424], [0.5479, -2.6691, 5.5922], [3.4220, -5.1521, 0.6656]], "species": ["Cd", "Sc", "Sc", "Sc", "Sc", "K"], "frac_coords": [[0.7500, 0.7500, 0.7500], [0.8667, 0.3778, 0.3778], [0.3778, 0.3778, 0.8667], [0.3778, 0.8667, 0.3778], [0.3778, 0.3778, 0.3778], [0.0000, 0.0000, 0.0000]], "crystal_system": "cubic", "volume_a3_per_atom": 28.37, "total_magnetization_mub_per_cell": 0.002, "space_group": "F-43m (216)", "ef_ev_per_atom": 0.458}